Entry from Alexandria via LeMat-Bulk: a relaxed CsPu2F8 crystal (PBE-GGA).

Cell: 4.5308 6.7718 6.7718 Å, 115.91 92.93 92.93°
Positions (direct):
F1 0.9394 0.6593 0.9656
Pu1 0.0000 0.3276 0.6724
F2 0.5000 0.7125 0.2875
Cs1 0.5000 0.0000 0.0000
F3 0.5000 0.2875 0.7125
F4 0.0606 0.3407 0.0344
F5 0.0606 0.0344 0.3407
F6 0.2425 0.5959 0.5959
Pu2 0.0000 0.6724 0.3276
F7 0.9394 0.9656 0.6593
F8 0.7575 0.4041 0.4041

Output
Polymorph energy (0 for the lowest one) (meV/atom): 0
Calculated volume (A^3/atom): 16.910
Space group: C2/m, No. 12
D(E_F) (states/eV/atom): 1.655
E_form (uncorrected) (meV per atom): -3472
Energy (eV/atom): -7.516
Crystal system: monoclinic